--- one ---
The following is a GGA-PBE calculation of a geometry-optimized ScAs2Br structure, from Alexandria via LeMat-Bulk.

Lattice parameters (Å, degrees): 4.028 4.028 22.257 90.00 90.00 90.00
Element x y z (fractional)
1 Sc 0.000 0.000 0.000
2 Sc 0.000 0.500 0.250
3 Sc 0.500 0.000 0.750
4 Sc 0.500 0.500 0.500
5 As 0.186 0.250 0.125
6 As 0.250 0.686 0.375
7 As 0.250 0.814 0.875
8 As 0.314 0.250 0.625
9 As 0.686 0.750 0.625
10 As 0.750 0.186 0.875
11 As 0.750 0.314 0.375
12 As 0.814 0.750 0.125
13 Br 0.000 0.000 0.500
14 Br 0.000 0.500 0.750
15 Br 0.500 0.000 0.250
16 Br 0.500 0.500 0.000

Results
As for the density of states at the Fermi level: 13.312 states/eV/cell.


--- two ---
The following is a GGA-PBE calculation of a geometry-optimized ScAs2Br structure, from Alexandria via LeMat-Bulk.

Lattice parameters (Å, degrees): 3.869 3.869 5.625 90.00 90.00 90.00
Element x y z (fractional)
1 Sc 0.000 0.000 0.000
2 As 0.000 0.500 0.500
3 As 0.500 0.000 0.500
4 Br 0.500 0.500 0.000

Results
As for the density of states at the Fermi level: 1.751 states/eV/cell.


Which of them is most stable, and which least? Most stable: one; least stable: two.


--- one ---
The following is a GGA-PBE calculation of a geometry-optimized Sr3LiPd structure, from Alexandria via LeMat-Bulk.

Lattice parameters (Å, degrees): 4.993 4.993 19.297 90.00 90.00 120.00
Element x y z (fractional)
1 Sr 0.000 0.000 0.250
2 Sr 0.000 0.000 0.750
3 Sr 0.333 0.667 0.074
4 Sr 0.333 0.667 0.426
5 Sr 0.667 0.333 0.574
6 Sr 0.667 0.333 0.926
7 Li 0.333 0.667 0.250
8 Li 0.667 0.333 0.750
9 Pd 0.000 0.000 0.000
10 Pd 0.000 0.000 0.500

Results
As for the density of states at the Fermi level: 4.808 states/eV/cell.


--- two ---
The following is a GGA-PBE calculation of a geometry-optimized Sr3LiPd structure, from Alexandria via LeMat-Bulk.

Lattice parameters (Å, degrees): 13.160 13.160 13.160 151.36 151.36 40.94
Element x y z (fractional)
1 Sr 0.219 0.219 0.000
2 Sr 0.369 0.127 0.758
3 Sr 0.369 0.611 0.242
4 Sr 0.389 0.631 0.758
5 Sr 0.781 0.781 0.000
6 Sr 0.873 0.631 0.242
7 Li 0.250 0.750 0.500
8 Li 0.500 0.500 0.000
9 Pd 0.695 0.195 0.500
10 Pd 0.805 0.305 0.500

Results
As for the density of states at the Fermi level: 13.921 states/eV/cell.


Which of them is most stable, and which least? Most stable: one; least stable: two.